Record 1
Compound: ErAlSn
Source: Alexandria
Functional: PBE
Structure: optimized geometry

Calculated values
Its crystal system is tetragonal. As for the space-group type: I4mm. As for the energy of formation: -266 meV/atom.

```
ErAlSn
1.0
-1.803 1.803 5.459
1.803 -1.803 5.459
1.803 1.803 -5.459
Er Al Sn
1 1 1
Direct
0.000 0.000 0.000 Er
0.326 0.326 0.000 Al
0.693 0.693 0.000 Sn
```



Record 2
Compound: Ba2Cd2Te
Source: Alexandria
Functional: PBE
Structure: optimized geometry

Calculated values
For the formation energy without anion corrections, the calculation gives -0.3782 eV per atom. The calculation puts the offset from the most stable computed form at 0.197 eV per atom. Its crystal system is tetragonal. As for the space-group type: I4/mmm.

```
Ba2Cd2Te
1.0
-3.284 3.284 4.796
3.284 -3.284 4.796
3.284 3.284 -4.796
Ba Cd Te
2 2 1
Direct
0.250 0.750 0.500 Ba
0.750 0.250 0.500 Ba
0.145 0.145 0.000 Cd
0.855 0.855 0.000 Cd
0.500 0.500 0.000 Te
```



Record 3
Compound: K2RbCaAs
Source: Alexandria
Functional: PBE
Structure: optimized geometry

Calculated values
Its crystal system is tetragonal. As for the space-group type: P4/mmm. As for the energy of formation: -285 meV/atom.

```
K2RbCaAs
1.0
6.738 0.000 0.000
0.000 6.738 0.000
0.000 0.000 5.723
K Rb Ca As
2 1 1 1
Direct
0.000 0.500 0.000 K
0.500 0.000 0.000 K
0.000 0.000 0.500 Rb
0.500 0.500 0.500 Ca
0.500 0.500 0.000 As
```



Record 4
Compound: DyEr12In6
Source: Alexandria
Functional: PBE
Structure: optimized geometry

Calculated values
Its crystal system is trigonal. As for the space-group type: R-3. As for the energy of formation: -192 meV/atom.

```
DyEr12In6
1.0
5.674 3.276 4.798
-5.674 3.276 4.798
0.000 -6.552 4.798
Dy Er In
1 12 6
Direct
0.000 0.000 0.000 Dy
0.077 0.385 0.130 Er
0.130 0.077 0.385 Er
0.194 0.563 0.473 Er
0.385 0.130 0.077 Er
0.437 0.527 0.806 Er
0.473 0.194 0.563 Er
0.527 0.806 0.437 Er
0.563 0.473 0.194 Er
0.615 0.870 0.923 Er
0.806 0.437 0.527 Er
0.870 0.923 0.615 Er
0.923 0.615 0.870 Er
0.125 0.280 0.744 In
0.256 0.875 0.720 In
0.280 0.744 0.125 In
0.720 0.256 0.875 In
0.744 0.125 0.280 In
0.875 0.720 0.256 In
```



Record 5
Compound: CaSmCd2
Source: Alexandria
Functional: PBE
Structure: optimized geometry

Calculated values
The calculation puts the offset from the most stable computed form at 0.002 eV per atom. Its crystal system is tetragonal. As for the space-group type: P4/mmm. As for the energy of formation: -357 meV/atom.

```
CaSmCd2
1.0
5.418 0.000 0.000
0.000 5.418 0.000
0.000 0.000 3.804
Ca Sm Cd
1 1 2
Direct
0.000 0.000 0.000 Ca
0.500 0.500 0.000 Sm
0.000 0.500 0.500 Cd
0.500 0.000 0.500 Cd
```



Record 6
Compound: CaEr2Pu
Source: Alexandria
Functional: PBE
Structure: optimized geometry

Calculated values
The calculation puts the offset from the most stable computed form at 0.000 eV per atom. Its crystal system is tetragonal. As for the space-group type: P4/mmm. As for the energy of formation: 139 meV/atom.

```
CaEr2Pu
1.0
3.535 0.000 0.000
0.000 3.535 0.000
0.000 0.000 10.186
Ca Er Pu
1 2 1
Direct
0.000 0.000 0.000 Ca
0.500 0.500 0.275 Er
0.500 0.500 0.725 Er
0.000 0.000 0.500 Pu
```



Record 7
Compound: ZnCuP2
Source: Alexandria
Functional: PBE
Structure: optimized geometry

Calculated values
Its crystal system is orthorhombic. As for the space-group type: Cmm2. As for the energy of formation: 333 meV/atom.

```
ZnCuP2
1.0
1.328 -2.377 0.000
1.328 2.377 0.000
0.000 0.000 9.307
Zn Cu P
1 1 2
Direct
0.000 0.000 0.000 Zn
0.500 0.500 0.230 Cu
0.000 0.000 0.445 P
0.500 0.500 0.763 P
```



Record 8
Compound: SmPaBiTe
Source: Alexandria
Functional: PBE
Structure: optimized geometry

Calculated values
For the formation energy without anion corrections, the calculation gives -0.6375 eV per atom. Its crystal system is cubic. As for the space-group type: F-43m.

```
SmPaBiTe
1.0
0.000 3.828 3.828
3.828 0.000 3.828
3.828 3.828 0.000
Sm Pa Bi Te
1 1 1 1
Direct
0.000 0.000 0.000 Sm
0.500 0.500 0.500 Pa
0.250 0.250 0.250 Bi
0.750 0.750 0.750 Te
```



Record 9
Compound: Pu2GaRu
Source: Alexandria
Functional: PBE
Structure: optimized geometry

Calculated values
Its crystal system is orthorhombic. As for the space-group type: Cmcm. As for the energy of formation: -265 meV/atom.

```
Pu2GaRu
1.0
4.423 -3.443 0.000
4.423 3.443 0.000
0.000 0.000 5.312
Pu Ga Ru
4 2 2
Direct
0.035 0.348 0.250 Pu
0.348 0.035 0.750 Pu
0.652 0.965 0.250 Pu
0.965 0.652 0.750 Pu
0.500 0.500 0.000 Ga
0.500 0.500 0.500 Ga
0.144 0.856 0.250 Ru
0.856 0.144 0.750 Ru
```



Record 10
Compound: Li2Mg2Au3
Source: Alexandria
Functional: PBE
Structure: optimized geometry

Calculated values
The calculation puts the offset from the most stable computed form at 0.000 eV per atom. Its crystal system is monoclinic. As for the space-group type: C2/m. As for the energy of formation: -515 meV/atom.

```
Li2Mg2Au3
1.0
4.510 -2.020 0.000
4.510 2.020 0.000
-0.981 0.000 6.586
Li Mg Au
2 2 3
Direct
0.069 0.069 0.194 Li
0.931 0.931 0.806 Li
0.210 0.210 0.662 Mg
0.790 0.790 0.338 Mg
0.360 0.360 0.075 Au
0.500 0.500 0.500 Au
0.640 0.640 0.925 Au
```



Record 11
Compound: CrRu2Au
Source: Alexandria
Functional: PBE
Structure: optimized geometry

Calculated values
The calculation puts the offset from the most stable computed form at 0.086 eV per atom. Its crystal system is tetragonal. As for the space-group type: I-4m2. As for the energy of formation: 284 meV/atom.

```
CrRu2Au
1.0
-1.924 1.924 3.921
1.924 -1.924 3.921
1.924 1.924 -3.921
Cr Ru Au
1 2 1
Direct
0.000 0.000 0.000 Cr
0.500 0.500 0.000 Ru
0.750 0.250 0.500 Ru
0.250 0.750 0.500 Au
```



Record 12
Compound: Pa3Fe6Ge2
Source: Alexandria
Functional: PBE
Structure: optimized geometry

Calculated values
Its crystal system is cubic. As for the space-group type: Im-3m. As for the energy of formation: -359 meV/atom.

```
Pa3Fe6Ge2
1.0
-4.382 4.382 4.382
4.382 -4.382 4.382
4.382 4.382 -4.382
Pa Fe Ge
6 12 4
Direct
0.000 0.288 0.288 Pa
0.000 0.712 0.712 Pa
0.288 0.000 0.288 Pa
0.288 0.288 0.000 Pa
0.712 0.000 0.712 Pa
0.712 0.712 0.000 Pa
0.000 0.351 0.649 Fe
0.000 0.649 0.351 Fe
0.298 0.649 0.649 Fe
0.351 0.000 0.649 Fe
0.351 0.351 0.702 Fe
0.351 0.649 0.000 Fe
0.351 0.702 0.351 Fe
0.649 0.000 0.351 Fe
0.649 0.298 0.649 Fe
0.649 0.351 0.000 Fe
0.649 0.649 0.298 Fe
0.702 0.351 0.351 Fe
0.000 0.000 0.500 Ge
0.000 0.500 0.000 Ge
0.500 0.000 0.000 Ge
0.500 0.500 0.500 Ge
```